1.
Hg2TeP: optimized geometry, GGA-PBE.

```
Hg2TeP
1.0
-1.763 -1.521 -2.830
-1.185 -2.232 1.938
-7.936 4.298 2.634
Hg Te P
2 1 1
Cartesian
-8.767 2.379 4.183
-7.261 1.415 1.390
-3.984 -0.985 0.638
-4.552 0.834 2.388
```

E_form (uncorrected) ... 0.218 eV/atom
D(E_F) ... 0.170 states/eV per atom
Total magnetization ... 0.00 Bohr magnetons per cell
Energy above the most stable polymorph in this dataset ... 83 meV/atom
SG ... Pm, No. 6

=====

2.
Th4HgTe2P: optimized geometry, GGA-PBE.

```
Th4HgTe2P
1.0
4.305 0.000 0.000
0.000 7.561 0.151
0.000 -2.626 7.346
Th Hg Te P
4 1 2 1
Cartesian
2.152 1.380 1.692
2.152 3.555 5.805
0.000 0.046 5.806
0.000 4.888 1.691
0.000 0.000 0.000
2.152 -1.313 3.673
0.000 2.467 3.748
2.152 3.780 0.075
```

E_form (uncorrected) ... -0.946 eV/atom
D(E_F) ... 0.851 states/eV per atom
Total magnetization ... 0.00 Bohr magnetons per cell
SG ... P2/m, No. 10

=====

Question: Number 1 is which compound?
Answer: Hg2TeP